VASP calculation (PBE with a Hubbard U) on crystalline AcPmV2O8 at its relaxed geometry. Values from VASP.

Results
The space group is I-4m2, No. 119. The uncorrected energy is -96.1 eV for the cell shown.

Geometry as Quantum ESPRESSO input:
```
&SYSTEM
  ibrav = 0, nat = 12, ntyp = 4
/
ATOMIC_SPECIES
V 50.94 V.upf
Pm 145.00 Pm.upf
O 16.00 O.upf
Ac 227.00 Ac.upf
CELL_PARAMETERS angstrom
6.2809 -0.0053 0.0000
-2.7905 5.6270 0.0000
-1.7452 -2.8108 5.3389
ATOMIC_POSITIONS crystal
V 0.7500 0.2500 0.5000
V 0.5000 0.5000 0.0000
Pm 0.2500 0.7500 0.5000
O 0.4808 0.6630 0.8178
O 0.3370 0.5192 0.1822
O 0.7500 0.0764 0.6736
O 0.4029 0.0764 0.3264
O 0.3370 0.1548 0.8178
O 0.9236 0.5971 0.6736
O 0.8452 0.6630 0.1822
O 0.9236 0.2500 0.3264
Ac 0.0000 0.0000 0.0000
```